1.
# PBE-GGA PrErCdPd, optimized geometry
data_PrErCdPd
_space_group_name_H-M_alt 'F -4 3 m'
_space_group_IT_number 216
_space_group_name_Hall 'F -4 2 3'
_cell_length_a 7.368
_cell_length_b 7.368
_cell_length_c 7.368
_cell_angle_alpha 90.00
_cell_angle_beta 90.00
_cell_angle_gamma 90.00
loop_
_atom_site_label
_atom_site_type_symbol
_atom_site_fract_x
_atom_site_fract_y
_atom_site_fract_z
_atom_site_occupancy
Pr1 Pr 0.000 0.000 0.000 1
Er1 Er 0.000 0.000 0.500 1
Cd1 Cd 0.250 0.250 0.250 1
Pd1 Pd 0.250 0.250 0.750 1
# Size of the total moment (μB/f.u.): 0.000
# Formation energy from the elements (eV per atom): -0.494
# Raw total energy (eV per cell): -69.713

2.
# PBE-GGA Er4CdPd2Pt, optimized geometry
data_Er4CdPd2Pt
_space_group_name_H-M_alt 'R -3 m'
_space_group_IT_number 166
_space_group_name_Hall '-R 3 2"'
_cell_length_a 4.9951
_cell_length_b 4.9951
_cell_length_c 24.4311
_cell_angle_alpha 90.00
_cell_angle_beta 90.00
_cell_angle_gamma 120.00
loop_
_atom_site_label
_atom_site_type_symbol
_atom_site_fract_x
_atom_site_fract_y
_atom_site_fract_z
_atom_site_occupancy
Er1 Er 0.0000 0.0000 0.1185 1
Er2 Er 0.0000 0.0000 0.3695 1
Cd1 Cd 0.0000 0.0000 0.5000 1
Pd1 Pd 0.0000 0.0000 0.2424 1
Pt1 Pt 0.0000 0.0000 0.0000 1
# Size of the total moment (μB/f.u.): 0.000
# Formation energy from the elements (eV per atom): -0.857
# Raw total energy (eV per cell): -127.348

3.
# PBE-GGA ErCdPdRh, optimized geometry
data_ErCdPdRh
_space_group_name_H-M_alt 'F -4 3 m'
_space_group_IT_number 216
_space_group_name_Hall 'F -4 2 3'
_cell_length_a 6.665
_cell_length_b 6.665
_cell_length_c 6.665
_cell_angle_alpha 90.00
_cell_angle_beta 90.00
_cell_angle_gamma 90.00
loop_
_atom_site_label
_atom_site_type_symbol
_atom_site_fract_x
_atom_site_fract_y
_atom_site_fract_z
_atom_site_occupancy
Er1 Er 0.000 0.000 0.000 1
Cd1 Cd 0.000 0.000 0.500 1
Pd1 Pd 0.250 0.250 0.250 1
Rh1 Rh 0.250 0.250 0.750 1
# Size of the total moment (μB/f.u.): 0.000
# Formation energy from the elements (eV per atom): -0.682
# Raw total energy (eV per cell): -82.994

4.
# PBE-GGA ErCdPdRu, optimized geometry
data_ErCdPdRu
_space_group_name_H-M_alt 'F -4 3 m'
_space_group_IT_number 216
_space_group_name_Hall 'F -4 2 3'
_cell_length_a 6.652
_cell_length_b 6.652
_cell_length_c 6.652
_cell_angle_alpha 90.00
_cell_angle_beta 90.00
_cell_angle_gamma 90.00
loop_
_atom_site_label
_atom_site_type_symbol
_atom_site_fract_x
_atom_site_fract_y
_atom_site_fract_z
_atom_site_occupancy
Er1 Er 0.000 0.000 0.000 1
Cd1 Cd 0.000 0.000 0.500 1
Pd1 Pd 0.250 0.250 0.750 1
Ru1 Ru 0.250 0.250 0.250 1
# Size of the total moment (μB/f.u.): 0.000
# Formation energy from the elements (eV per atom): -0.352
# Raw total energy (eV per cell): -85.417

5.
# PBE-GGA Er4CdPdRu2, optimized geometry
data_Er4CdPdRu2
_space_group_name_H-M_alt 'R -3 m'
_space_group_IT_number 166
_space_group_name_Hall '-R 3 2"'
_cell_length_a 4.9045
_cell_length_b 4.9045
_cell_length_c 24.0760
_cell_angle_alpha 90.00
_cell_angle_beta 90.00
_cell_angle_gamma 120.00
loop_
_atom_site_label
_atom_site_type_symbol
_atom_site_fract_x
_atom_site_fract_y
_atom_site_fract_z
_atom_site_occupancy
Er1 Er 0.0000 0.0000 0.1210 1
Er2 Er 0.0000 0.0000 0.3719 1
Cd1 Cd 0.0000 0.0000 0.5000 1
Pd1 Pd 0.0000 0.0000 0.0000 1
Ru1 Ru 0.0000 0.0000 0.2490 1
# Size of the total moment (μB/f.u.): 0.000
# Formation energy from the elements (eV per atom): -0.520
# Raw total energy (eV per cell): -141.212

6.
# PBE-GGA SmEr2CdPd4, optimized geometry
data_SmEr2CdPd4
_space_group_name_H-M_alt 'R -3 m'
_space_group_IT_number 166
_space_group_name_Hall '-R 3 2"'
_cell_length_a 4.8874
_cell_length_b 4.8874
_cell_length_c 23.9156
_cell_angle_alpha 90.00
_cell_angle_beta 90.00
_cell_angle_gamma 120.00
loop_
_atom_site_label
_atom_site_type_symbol
_atom_site_fract_x
_atom_site_fract_y
_atom_site_fract_z
_atom_site_occupancy
Sm1 Sm 0.0000 0.0000 0.0000 1
Er1 Er 0.0000 0.0000 0.2432 1
Cd1 Cd 0.0000 0.0000 0.5000 1
Pd1 Pd 0.0000 0.0000 0.1223 1
Pd2 Pd 0.0000 0.0000 0.3756 1
# Size of the total moment (μB/f.u.): 0.000
# Formation energy from the elements (eV per atom): -0.790
# Raw total energy (eV per cell): -125.547

7.
# PBE-GGA SmErCd2Pd4, optimized geometry
data_SmErCd2Pd4
_space_group_name_H-M_alt 'R -3 m'
_space_group_IT_number 166
_space_group_name_Hall '-R 3 2"'
_cell_length_a 4.8045
_cell_length_b 4.8045
_cell_length_c 23.6893
_cell_angle_alpha 90.00
_cell_angle_beta 90.00
_cell_angle_gamma 120.00
loop_
_atom_site_label
_atom_site_type_symbol
_atom_site_fract_x
_atom_site_fract_y
_atom_site_fract_z
_atom_site_occupancy
Sm1 Sm 0.0000 0.0000 0.0000 1
Er1 Er 0.0000 0.0000 0.5000 1
Cd1 Cd 0.0000 0.0000 0.2495 1
Pd1 Pd 0.0000 0.0000 0.1264 1
Pd2 Pd 0.0000 0.0000 0.3781 1
# Size of the total moment (μB/f.u.): 0.000
# Formation energy from the elements (eV per atom): -0.711
# Raw total energy (eV per cell): -112.711

8.
# PBE-GGA SrErCdPd, optimized geometry
data_SrErCdPd
_space_group_name_H-M_alt 'F -4 3 m'
_space_group_IT_number 216
_space_group_name_Hall 'F -4 2 3'
_cell_length_a 7.439
_cell_length_b 7.439
_cell_length_c 7.439
_cell_angle_alpha 90.00
_cell_angle_beta 90.00
_cell_angle_gamma 90.00
loop_
_atom_site_label
_atom_site_type_symbol
_atom_site_fract_x
_atom_site_fract_y
_atom_site_fract_z
_atom_site_occupancy
Sr1 Sr 0.000 0.000 0.000 1
Er1 Er 0.000 0.000 0.500 1
Cd1 Cd 0.250 0.250 0.250 1
Pd1 Pd 0.250 0.250 0.750 1
# Size of the total moment (μB/f.u.): 0.000
# Formation energy from the elements (eV per atom): -0.389
# Raw total energy (eV per cell): -55.639

9.
# PBE-GGA TbEr2CdPd4, optimized geometry
data_TbEr2CdPd4
_space_group_name_H-M_alt 'R -3 m'
_space_group_IT_number 166
_space_group_name_Hall '-R 3 2"'
_cell_length_a 4.8645
_cell_length_b 4.8645
_cell_length_c 23.8140
_cell_angle_alpha 90.00
_cell_angle_beta 90.00
_cell_angle_gamma 120.00
loop_
_atom_site_label
_atom_site_type_symbol
_atom_site_fract_x
_atom_site_fract_y
_atom_site_fract_z
_atom_site_occupancy
Tb1 Tb 0.0000 0.0000 0.0000 1
Er1 Er 0.0000 0.0000 0.2439 1
Cd1 Cd 0.0000 0.0000 0.5000 1
Pd1 Pd 0.0000 0.0000 0.1216 1
Pd2 Pd 0.0000 0.0000 0.3733 1
# Size of the total moment (μB/f.u.): 0.000
# Formation energy from the elements (eV per atom): -0.820
# Raw total energy (eV per cell): -126.014

10.
# PBE-GGA TbErCdPd, optimized geometry
data_TbErCdPd
_space_group_name_H-M_alt 'P 4 m m'
_space_group_IT_number 99
_cell_length_a 3.587
_cell_length_b 3.587
_cell_length_c 7.359
_cell_angle_alpha 90.00
_cell_angle_beta 90.00
_cell_angle_gamma 90.00
loop_
_space_group_symop_operation_xyz
'x,y,z'
'-y,x,z'
'-x,-y,z'
'y,-x,z'
'-x,y,z'
'y,x,z'
'x,-y,z'
'-y,-x,z'
loop_
_atom_site_label
_atom_site_type_symbol
_atom_site_fract_x
_atom_site_fract_y
_atom_site_fract_z
_atom_site_occupancy
Tb1 Tb 0.000 0.000 0.000 1
Er1 Er 0.000 0.000 0.547 1
Cd1 Cd 0.500 0.500 0.278 1
Pd1 Pd 0.500 0.500 0.765 1
# Size of the total moment (μB/f.u.): 0.000
# Formation energy from the elements (eV per atom): -0.609
# Raw total energy (eV per cell): -17.739

11.
# PBE-GGA TbErCdPd, optimized geometry
data_TbErCdPd
_space_group_name_H-M_alt 'F -4 3 m'
_space_group_IT_number 216
_space_group_name_Hall 'F -4 2 3'
_cell_length_a 7.230
_cell_length_b 7.230
_cell_length_c 7.230
_cell_angle_alpha 90.00
_cell_angle_beta 90.00
_cell_angle_gamma 90.00
loop_
_atom_site_label
_atom_site_type_symbol
_atom_site_fract_x
_atom_site_fract_y
_atom_site_fract_z
_atom_site_occupancy
Tb1 Tb 0.000 0.000 0.000 1
Er1 Er 0.000 0.000 0.500 1
Cd1 Cd 0.250 0.250 0.250 1
Pd1 Pd 0.250 0.250 0.750 1
# Size of the total moment (μB/f.u.): 0.000
# Formation energy from the elements (eV per atom): -0.554
# Raw total energy (eV per cell): -70.062

12.
# PBE-GGA Er4Tl2CdPd, optimized geometry
data_Er4Tl2CdPd
_space_group_name_H-M_alt 'R -3 m'
_space_group_IT_number 166
_space_group_name_Hall '-R 3 2"'
_cell_length_a 5.2252
_cell_length_b 5.2252
_cell_length_c 25.3312
_cell_angle_alpha 90.00
_cell_angle_beta 90.00
_cell_angle_gamma 120.00
loop_
_atom_site_label
_atom_site_type_symbol
_atom_site_fract_x
_atom_site_fract_y
_atom_site_fract_z
_atom_site_occupancy
Er1 Er 0.0000 0.0000 0.1172 1
Er2 Er 0.0000 0.0000 0.3696 1
Tl1 Tl 0.0000 0.0000 0.2446 1
Cd1 Cd 0.0000 0.0000 0.5000 1
Pd1 Pd 0.0000 0.0000 0.0000 1
# Size of the total moment (μB/f.u.): 0.000
# Formation energy from the elements (eV per atom): -0.459
# Raw total energy (eV per cell): -98.281

Number 1: D(E_F) 0.853 states/eV per atom. Number 2: D(E_F) 0.702 states/eV per atom. Number 3: D(E_F) 0.478 states/eV per atom. Number 4: D(E_F) 0.721 states/eV per atom. Number 5: D(E_F) 0.449 states/eV per atom. Number 6: D(E_F) 0.618 states/eV per atom. Number 7: D(E_F) 0.486 states/eV per atom. Number 8: D(E_F) 0.956 states/eV per atom. Number 9: D(E_F) 0.606 states/eV per atom. Number 10: D(E_F) 0.748 states/eV per atom. Number 11: D(E_F) 0.672 states/eV per atom. Number 12: D(E_F) 0.531 states/eV per atom.